Record 1
First-principles (PBE-GGA) data for a relaxed structure of TbPr2SmTe6, as listed in Alexandria via LeMat-Bulk.

```
data_TbPr2SmTe6
_cell_length_a 7.9200
_cell_length_b 7.9200
_cell_length_c 21.4185
_cell_angle_alpha 90.00
_cell_angle_beta 90.00
_cell_angle_gamma 120.00
_space_group_name_H-M_alt 'R 3'
_space_group_IT_number 146
_space_group_name_Hall 'R 3'
loop_
_atom_site_label
_atom_site_type_symbol
_atom_site_fract_x
_atom_site_fract_y
_atom_site_fract_z
Tb1 Tb 0.0000 0.0000 0.0000
Pr1 Pr 0.0000 0.0000 0.3094
Pr2 Pr 0.0000 0.0000 0.8088
Sm1 Sm 0.0000 0.0000 0.5007
Te1 Te 0.0314 0.3480 0.0744
Te2 Te 0.0335 0.6797 0.5753
```

Computed properties:
total energy = -5.154 eV/atom

Record 2
First-principles (PBE-GGA) data for a relaxed structure of LiUOsO6, as listed in Alexandria via LeMat-Bulk.

```
data_LiUOsO6
_cell_length_a 5.3963
_cell_length_b 5.3963
_cell_length_c 9.3751
_cell_angle_alpha 90.00
_cell_angle_beta 90.00
_cell_angle_gamma 120.00
_space_group_name_H-M_alt 'P -3 1 c'
_space_group_IT_number 163
_space_group_name_Hall '-P 3 2c'
loop_
_atom_site_label
_atom_site_type_symbol
_atom_site_fract_x
_atom_site_fract_y
_atom_site_fract_z
Li1 Li 0.0000 0.0000 0.0000
U1 U 0.3333 0.6667 0.2500
Os1 Os 0.3333 0.6667 0.7500
O1 O 0.0173 0.3632 0.6367
```

Computed properties:
Fermi-level density of states = 0.135 states/eV/atom
total energy = -8.031 eV/atom

Record 3
First-principles (PBE-GGA) data for a relaxed structure of In4I3F, as listed in Alexandria via LeMat-Bulk.

```
data_In4I3F
_cell_length_a 18.279
_cell_length_b 4.986
_cell_length_c 7.591
_cell_angle_alpha 90.00
_cell_angle_beta 112.82
_cell_angle_gamma 90.00
_space_group_name_H-M_alt 'C 1 2/m 1'
_space_group_IT_number 12
loop_
_space_group_symop_operation_xyz
'x,y,z'
'-x,-y,-z'
'-x,y,-z'
'x,-y,z'
'x+1/2,y+1/2,z'
'-x+1/2,-y+1/2,-z'
'-x+1/2,y+1/2,-z'
'x+1/2,-y+1/2,z'
loop_
_atom_site_label
_atom_site_type_symbol
_atom_site_fract_x
_atom_site_fract_y
_atom_site_fract_z
In1 In 0.099 0.000 0.383
In2 In 0.124 0.000 0.923
I1 I 0.000 0.500 0.000
I2 I 0.191 0.500 0.707
F1 F 0.000 0.000 0.500
```

Computed properties:
energy above the most stable polymorph in this dataset = 0.04 eV per formula unit
total energy = -2.910 eV/atom

Record 4
First-principles (PBE-GGA) data for a relaxed structure of CaBiN3, as listed in Alexandria via LeMat-Bulk.

```
data_CaBiN3
_cell_length_a 4.290
_cell_length_b 4.290
_cell_length_c 4.290
_cell_angle_alpha 90.00
_cell_angle_beta 90.00
_cell_angle_gamma 90.00
_space_group_name_H-M_alt 'P m -3 m'
_space_group_IT_number 221
_space_group_name_Hall '-P 4 2 3'
loop_
_atom_site_label
_atom_site_type_symbol
_atom_site_fract_x
_atom_site_fract_y
_atom_site_fract_z
Ca1 Ca 0.000 0.000 0.000
Bi1 Bi 0.500 0.500 0.500
N1 N 0.000 0.500 0.500
```

Computed properties:
Fermi-level density of states = 0.832 states/eV/atom
total energy = -5.106 eV/atom

Record 5
First-principles (PBE-GGA) data for a relaxed structure of KRbPbF4, as listed in Alexandria via LeMat-Bulk.

```
data_KRbPbF4
_cell_length_a 4.809
_cell_length_b 4.809
_cell_length_c 14.182
_cell_angle_alpha 90.00
_cell_angle_beta 90.00
_cell_angle_gamma 90.00
_space_group_name_H-M_alt 'I 4 m m'
_space_group_IT_number 107
_space_group_name_Hall 'I 4 -2'
loop_
_atom_site_label
_atom_site_type_symbol
_atom_site_fract_x
_atom_site_fract_y
_atom_site_fract_z
K1 K 0.000 0.000 0.000
Rb1 Rb 0.000 0.000 0.293
Pb1 Pb 0.000 0.000 0.643
F1 F 0.000 0.000 0.477
F2 F 0.000 0.000 0.821
F3 F 0.000 0.500 0.129
```

Computed properties:
Fermi-level density of states = 0.000 states/eV/atom
total energy = -4.423 eV/atom

Record 6
First-principles (PBE-GGA) data for a relaxed structure of Ca2Cd9Ag6, as listed in Alexandria via LeMat-Bulk.

```
data_Ca2Cd9Ag6
_cell_length_a 5.8111
_cell_length_b 5.8111
_cell_length_c 14.2946
_cell_angle_alpha 90.00
_cell_angle_beta 90.00
_cell_angle_gamma 120.00
_space_group_name_H-M_alt 'P 6/m m m'
_space_group_IT_number 191
_space_group_name_Hall '-P 6 2'
loop_
_atom_site_label
_atom_site_type_symbol
_atom_site_fract_x
_atom_site_fract_y
_atom_site_fract_z
Ca1 Ca 0.0000 0.0000 0.1649
Cd1 Cd 0.0000 0.5000 0.0000
Cd2 Cd 0.0000 0.5000 0.3357
Ag1 Ag 0.3333 0.6667 0.1683
Ag2 Ag 0.3333 0.6667 0.5000
```

Computed properties:
formation energy from the elements = -1.32 eV/f.u.
Fermi-level density of states = 0.470 states/eV/atom
total energy = -1.804 eV/atom

Please write out number 1 again, unchanged.
First-principles (PBE-GGA) data for a relaxed structure of TbPr2SmTe6, as listed in Alexandria via LeMat-Bulk.

```
data_TbPr2SmTe6
_cell_length_a 7.9200
_cell_length_b 7.9200
_cell_length_c 21.4185
_cell_angle_alpha 90.00
_cell_angle_beta 90.00
_cell_angle_gamma 120.00
_space_group_name_H-M_alt 'R 3'
_space_group_IT_number 146
_space_group_name_Hall 'R 3'
loop_
_atom_site_label
_atom_site_type_symbol
_atom_site_fract_x
_atom_site_fract_y
_atom_site_fract_z
Tb1 Tb 0.0000 0.0000 0.0000
Pr1 Pr 0.0000 0.0000 0.3094
Pr2 Pr 0.0000 0.0000 0.8088
Sm1 Sm 0.0000 0.0000 0.5007
Te1 Te 0.0314 0.3480 0.0744
Te2 Te 0.0335 0.6797 0.5753
```

Computed properties:
total energy = -5.154 eV/atom

Q: Among the records above, which one has the highest total energy?
A: Ca2Cd9Ag6

Q: What is the total energy in the second record?
A: -8.031 eV/atom

Q: The highest total energy belongs to which entry?
A: Ca2Cd9Ag6